No. 1
Computed, not measured: Ac2Pm6Ho3 after structural relaxation at the PBE level of DFT.

a b c (Å): 32.905 32.905 32.905
angles (deg): 6.43 6.43 6.43
Sites, in units of the cell vectors:
Ac 0.047 0.047 0.047
Ac 0.953 0.953 0.953
Pm 0.137 0.137 0.137
Pm 0.318 0.318 0.318
Pm 0.412 0.412 0.412
Pm 0.588 0.588 0.588
Pm 0.682 0.682 0.682
Pm 0.863 0.863 0.863
Ho 0.225 0.225 0.225
Ho 0.500 0.500 0.500
Ho 0.775 0.775 0.775

symmetry: No. 166

***

No. 2
Computed, not measured: YCu2Te after structural relaxation at the PBE level of DFT.

a b c (Å): 5.746 5.746 5.746
angles (deg): 43.89 43.89 43.89
Sites, in units of the cell vectors:
Y 0.000 0.000 0.000
Cu 0.231 0.231 0.231
Cu 0.769 0.769 0.769
Te 0.500 0.500 0.500

ΔE_f (raw): -0.208 eV/atom
symmetry: No. 166

***

No. 3
Computed, not measured: SrGa4Cu2Rh after structural relaxation at the PBE level of DFT.

a b c (Å): 9.859 9.859 9.859
angles (deg): 24.66 24.66 24.66
Sites, in units of the cell vectors:
Sr 0.000 0.000 0.000
Ga 0.132 0.132 0.132
Ga 0.407 0.407 0.407
Ga 0.593 0.593 0.593
Ga 0.868 0.868 0.868
Cu 0.228 0.228 0.228
Cu 0.772 0.772 0.772
Rh 0.500 0.500 0.500

symmetry: No. 166

***

No. 4
Computed, not measured: CrCdPb2 after structural relaxation at the PBE level of DFT.

a b c (Å): 7.242 7.242 4.796
angles (deg): 109.22 109.22 26.57
Sites, in units of the cell vectors:
Cr 0.000 0.000 0.000
Cd 0.500 0.500 0.500
Pb 0.312 0.312 0.812
Pb 0.688 0.688 0.188

symmetry: No. 12

***

no.,E (eV for the cell shown)
1,-50.0
2,-18.6
3,-32.1
4,-16.6